Record 1
ZnAs2BrO: relaxed, GGA-PBEsol.

Computed properties:
Electronic total energy   -3.561 eV/atom

Cell and atoms, written as CIF:
```
data_ZnAs2BrO
_symmetry_space_group_name_H-M 'P 4/m m m'
_symmetry_Int_Tables_number 123
_symmetry_space_group_name_Hall '-P 4 2'
_cell_length_a 4.042
_cell_length_b 4.042
_cell_length_c 6.321
_cell_angle_alpha 90.00
_cell_angle_beta 90.00
_cell_angle_gamma 90.00
loop_
_atom_site_label
_atom_site_type_symbol
_atom_site_fract_x
_atom_site_fract_y
_atom_site_fract_z
Zn1 Zn 0.000 0.000 0.000
As1 As 0.000 0.500 0.500
Br1 Br 0.500 0.500 0.000
O1 O 0.500 0.500 0.500
```


Record 2
LiLa2TiO6: relaxed, GGA-PBEsol.

Computed properties:
Electronic total energy   -8.216 eV/atom

Cell and atoms, written as CIF:
```
data_LiLa2TiO6
_symmetry_space_group_name_H-M 'P 1 21/c 1'
_symmetry_Int_Tables_number 14
_symmetry_space_group_name_Hall '-P 2ybc'
_cell_length_a 5.480
_cell_length_b 5.670
_cell_length_c 9.438
_cell_angle_alpha 90.00
_cell_angle_beta 124.94
_cell_angle_gamma 90.00
loop_
_atom_site_label
_atom_site_type_symbol
_atom_site_fract_x
_atom_site_fract_y
_atom_site_fract_z
Li1 Li 0.000 0.000 0.000
La1 La 0.237 0.055 0.748
Ti1 Ti 0.500 0.000 0.500
O1 O 0.170 0.193 0.458
O2 O 0.263 0.715 0.455
O3 O 0.340 0.024 0.257
```


Record 3
HgMoAs2: relaxed, GGA-PBEsol.

Computed properties:
Energy of formation   2.04 eV per formula unit

Cell and atoms, written as CIF:
```
data_HgMoAs2
_symmetry_space_group_name_H-M 'I -4 m 2'
_symmetry_Int_Tables_number 119
_symmetry_space_group_name_Hall 'I -4 -2'
_cell_length_a 3.897
_cell_length_b 3.897
_cell_length_c 9.282
_cell_angle_alpha 90.00
_cell_angle_beta 90.00
_cell_angle_gamma 90.00
loop_
_atom_site_label
_atom_site_type_symbol
_atom_site_fract_x
_atom_site_fract_y
_atom_site_fract_z
Hg1 Hg 0.000 0.000 0.000
Mo1 Mo 0.000 0.500 0.250
As1 As 0.000 0.000 0.500
As2 As 0.000 0.500 0.750
```


What is the formula in the first record?
ZnAs2BrO